First-principles (GGA+U) data for a geometry-optimized PaCoBO5 structure, as listed in the Alexandria database.

Output
The total energy comes out at -8.214 eV/atom. As for the space group: No. 15.

Cell lengths 5.325, 5.325, 6.455 Å; angles 95.59, 95.59, 104.54 degrees
Last column: magnetic moment on the atom in μB.
Sites, in units of the cell vectors:
O: 0.320 0.988 0.672  -0.01
O: 0.123 0.877 0.250  -0.03
O: 0.708 0.470 0.422  0.01
O: 0.680 0.012 0.328  -0.01
Co: 0.000 0.000 0.500  1.01
O: 0.988 0.320 0.172  -0.01
Pa: 0.631 0.369 0.750  -0.02
O: 0.292 0.530 0.578  0.01
B: 0.729 0.271 0.250  0.00
O: 0.530 0.292 0.078  0.01
O: 0.012 0.680 0.828  -0.01
B: 0.271 0.729 0.750  0.00
O: 0.877 0.123 0.750  -0.03
Pa: 0.369 0.631 0.250  -0.02
Co: 0.000 0.000 0.000  1.01
O: 0.470 0.708 0.922  0.01